## Bi3PCl (PBE)

Data for crystalline Bi3PCl at its relaxed geometry.

a b c (Å): 5.462 5.462 5.462
angles (deg): 90.00 90.00 90.00
Element x y z (fractional)
1 Bi 0.000 0.000 0.500
2 Bi 0.000 0.500 0.000
3 Bi 0.500 0.000 0.000
4 P 0.000 0.000 0.000
5 Cl 0.500 0.500 0.500

Properties
N(E_F) = 3.054 states/eV/cell
E_tot = -3.42 eV per atom
Spin magnetization = 0.0 μB per formula unit
ΔE_f (raw) = 175 kJ/mol of formula units